Entry 1:
ZnSiH12O6F6: single point on PBEsol structure, SCAN.

Unit cell a=6.264 b=6.264 c=6.264 alpha=96.48 beta=96.48 gamma=96.48
Fractional positions:
Zn1 0.000 0.000 0.000
Si1 0.500 0.500 0.500
H1 0.589 0.807 0.937
H2 0.316 0.207 0.816
H3 0.184 0.684 0.793
H4 0.937 0.589 0.807
H5 0.793 0.184 0.684
H6 0.807 0.937 0.589
H7 0.193 0.063 0.411
H8 0.207 0.816 0.316
H9 0.063 0.411 0.193
H10 0.816 0.316 0.207
H11 0.684 0.793 0.184
H12 0.411 0.193 0.063
O1 0.307 0.122 0.939
O2 0.061 0.693 0.878
O3 0.878 0.061 0.693
O4 0.122 0.939 0.307
O5 0.939 0.307 0.122
O6 0.693 0.878 0.061
F1 0.431 0.681 0.698
F2 0.698 0.431 0.681
F3 0.319 0.302 0.569
F4 0.681 0.698 0.431
F5 0.302 0.569 0.319
F6 0.569 0.319 0.302

Output
Energy: -167.61 eV/cell
Crystal system: trigonal


Entry 2:
SrHOF2: single point on PBEsol structure, SCAN.

Unit cell a=4.688 b=4.688 c=5.259 alpha=90.00 beta=90.00 gamma=90.00
Site moments in Bohr magnetons follow the coordinates.
Fractional positions:
Sr1 0.000 0.000 0.000  -0.01
H1 0.500 0.500 0.500  0.38
O1 0.000 0.000 0.500  1.47
F1 0.000 0.500 0.000  0.10
F2 0.500 0.000 0.000  0.10

Output
Energy: -45.19 eV/cell
Crystal system: tetragonal


Number 1: total magnetic moment 0.0 μB per formula unit. Number 2: total magnetic moment 3.0 μB per formula unit.